Record 1
Computed, not measured: a relaxed HoAgS crystal at the GGA-PBE level of DFT.

Summary:
E in eV/cell: -28.840

Cell lengths 4.045, 4.045, 12.096 Å; angles 97.57, 97.57, 59.93 degrees
Positions (direct):
Ho 0.103 0.103 0.254
Ho 0.897 0.897 0.746
Ag 0.183 0.183 0.565
Ag 0.817 0.817 0.435
S 0.410 0.410 0.156
S 0.590 0.590 0.844

Record 2
Computed, not measured: a relaxed Pm6Rh2SI3 crystal at the GGA-PBE level of DFT.

Summary:
E in eV/cell: -65.084

Cell lengths 7.283, 7.283, 8.282 Å; angles 98.40, 98.40, 119.90 degrees
Positions (direct):
Pm 0.091 0.438 0.814
Pm 0.215 0.215 0.186
Pm 0.438 0.091 0.814
Pm 0.562 0.909 0.186
Pm 0.785 0.785 0.814
Pm 0.909 0.562 0.186
Rh 0.167 0.833 0.000
Rh 0.833 0.167 0.000
S 0.500 0.500 0.000
I 0.000 0.000 0.500
I 0.336 0.664 0.500
I 0.664 0.336 0.500

Record 3
Computed, not measured: a relaxed Ti2GaSn crystal at the GGA-PBE level of DFT.

Summary:
E in eV/cell: -23.492
Energy relative to the elements in eV per atom: -0.1681

Cell lengths 9.211, 9.211, 9.211 Å; angles 19.22, 19.22, 19.22 degrees
Positions (direct):
Ti 0.246 0.246 0.246
Ti 0.754 0.754 0.754
Ga 0.500 0.500 0.500
Sn 0.000 0.000 0.000

Record 4
Computed, not measured: a relaxed TiPRh2 crystal at the GGA-PBE level of DFT.

Summary:
E in eV/cell: -57.730
Energy relative to the elements in eV per atom: -0.2143

Cell lengths 6.910, 6.910, 6.910 Å; angles 136.33, 136.33, 63.47 degrees
Positions (direct):
Ti 0.000 0.000 0.000
Ti 0.750 0.250 0.500
P 0.250 0.750 0.500
P 0.500 0.500 0.000
Rh 0.157 0.625 0.032
Rh 0.375 0.407 0.532
Rh 0.593 0.125 0.968
Rh 0.875 0.843 0.468

Record 5
Computed, not measured: a relaxed TaCu2Cl crystal at the GGA-PBE level of DFT.

Summary:
E in eV/cell: -20.828

Cell lengths 2.839, 4.429, 5.019 Å; angles 90.00, 90.12, 90.00 degrees
Positions (direct):
Ta 0.000 0.000 0.000
Cu 0.500 0.000 0.475
Cu 0.501 0.500 0.251
Cl 0.999 0.500 0.790

Record 6
Computed, not measured: a relaxed MgZr3Tc crystal at the GGA-PBE level of DFT.

Summary:
E in eV/cell: -29.737
Energy relative to the elements in eV per atom: 1.5736

Cell lengths 4.921, 4.921, 4.921 Å; angles 90.00, 90.00, 90.00 degrees
Positions (direct):
Mg 0.000 0.000 0.000
Zr 0.000 0.000 0.500
Zr 0.000 0.500 0.000
Zr 0.500 0.000 0.000
Tc 0.500 0.500 0.500

Record 7
Computed, not measured: a relaxed Ti4Ga2Mo crystal at the GGA-PBE level of DFT.

Summary:
E in eV/cell: -44.657
Energy relative to the elements in eV per atom: 0.5440

Cell lengths 7.367, 7.367, 7.367 Å; angles 142.86, 142.86, 53.54 degrees
Positions (direct):
Ti 0.000 0.500 0.500
Ti 0.183 0.183 0.000
Ti 0.500 0.000 0.500
Ti 0.817 0.817 0.000
Ga 0.381 0.381 0.000
Ga 0.619 0.619 0.000
Mo 0.000 0.000 0.000

Record 8
Computed, not measured: a relaxed PrTmBiSe crystal at the GGA-PBE level of DFT.

Summary:
E in eV/cell: -21.440

Cell lengths 8.008, 8.008, 8.008 Å; angles 30.65, 30.65, 30.65 degrees
Positions (direct):
Pr 0.000 0.000 0.000
Tm 0.163 0.163 0.163
Bi 0.575 0.575 0.575
Se 0.755 0.755 0.755

Record 9
Computed, not measured: a relaxed Ta2Ru crystal at the GGA-PBE level of DFT.

Summary:
E in eV/cell: -32.067
Energy relative to the elements in eV per atom: 0.3047

Cell lengths 4.353, 4.353, 3.073 Å; angles 90.00, 90.00, 90.00 degrees
Positions (direct):
Ta 0.000 0.500 0.000
Ta 0.500 0.000 0.000
Ru 0.000 0.000 0.500

Record 10
Computed, not measured: a relaxed Hf2NbPdN crystal at the GGA-PBE level of DFT.

Summary:
E in eV/cell: -47.673

Cell lengths 4.444, 4.444, 4.156 Å; angles 90.00, 90.00, 90.00 degrees
Positions (direct):
Hf 0.000 0.500 0.000
Hf 0.500 0.000 0.000
Nb 0.000 0.000 0.500
Pd 0.500 0.500 0.500
N 0.000 0.000 0.000

Record 11
Computed, not measured: a relaxed LiNd2RhO6 crystal at the GGA-PBE level of DFT.

Summary:
E in eV/cell: -142.070

Cell lengths 5.435, 5.831, 9.427 Å; angles 90.00, 124.73, 90.00 degrees
Positions (direct):
Li 0.000 0.000 0.000
Li 0.000 0.500 0.500
Nd 0.231 0.075 0.748
Nd 0.231 0.425 0.248
Nd 0.769 0.575 0.752
Nd 0.769 0.925 0.252
Rh 0.500 0.000 0.500
Rh 0.500 0.500 0.000
O 0.152 0.187 0.452
O 0.152 0.313 0.952
O 0.268 0.710 0.448
O 0.268 0.790 0.948
O 0.350 0.029 0.253
O 0.350 0.471 0.753
O 0.650 0.529 0.247
O 0.650 0.971 0.747
O 0.732 0.210 0.052
O 0.732 0.290 0.552
O 0.848 0.687 0.048
O 0.848 0.813 0.548

Record 12
Computed, not measured: a relaxed Y2HgSe crystal at the GGA-PBE level of DFT.

Summary:
E in eV/cell: -20.158

Cell lengths 5.283, 5.283, 3.537 Å; angles 90.00, 90.00, 97.98 degrees
Positions (direct):
Y 0.000 0.500 0.000
Y 0.500 0.000 0.000
Hg 0.000 0.000 0.500
Se 0.500 0.500 0.500

Record 13
Computed, not measured: a relaxed NiPdPt crystal at the GGA-PBE level of DFT.

Summary:
E in eV/cell: -67.763
Energy relative to the elements in eV per atom: 0.0247

Cell lengths 7.329, 2.722, 8.682 Å; angles 90.00, 90.00, 90.00 degrees
Positions (direct):
Ni 0.126 0.250 0.127
Ni 0.374 0.750 0.627
Ni 0.626 0.250 0.373
Ni 0.874 0.750 0.873
Pd 0.051 0.250 0.644
Pd 0.449 0.750 0.144
Pd 0.551 0.250 0.856
Pd 0.949 0.750 0.356
Pt 0.217 0.750 0.891
Pt 0.283 0.250 0.391
Pt 0.717 0.750 0.609
Pt 0.783 0.250 0.109

Record 14
Computed, not measured: a relaxed Pr3Nd5Er2 crystal at the GGA-PBE level of DFT.

Summary:
E in eV/cell: -91.207
Energy relative to the elements in eV per atom: 0.1700

Cell lengths 9.317, 9.317, 10.089 Å; angles 108.54, 108.54, 107.97 degrees
Positions (direct):
Pr 0.024 0.275 0.056
Pr 0.229 0.771 0.750
Pr 0.275 0.024 0.556
Pr 0.725 0.976 0.444
Pr 0.771 0.229 0.250
Pr 0.976 0.725 0.944
Nd 0.020 0.980 0.750
Nd 0.137 0.384 0.765
Nd 0.272 0.728 0.250
Nd 0.384 0.137 0.265
Nd 0.477 0.523 0.250
Nd 0.523 0.477 0.750
Nd 0.616 0.863 0.735
Nd 0.728 0.272 0.750
Nd 0.863 0.616 0.235
Nd 0.980 0.020 0.250
Er 0.220 0.468 0.446
Er 0.468 0.220 0.946
Er 0.532 0.780 0.054
Er 0.780 0.532 0.554

Record 15
Computed, not measured: a relaxed BeRhSeN2 crystal at the GGA-PBE level of DFT.

Summary:
E in eV/cell: -25.336

Cell lengths 3.432, 3.432, 5.649 Å; angles 90.00, 90.00, 90.00 degrees
Positions (direct):
Be 0.000 0.000 0.000
Rh 0.500 0.500 0.500
Se 0.000 0.000 0.500
N 0.000 0.500 0.000
N 0.500 0.000 0.000

Record 16
Computed, not measured: a relaxed Tb5ScAl3 crystal at the GGA-PBE level of DFT.

Summary:
E in eV/cell: -86.198
Energy relative to the elements in eV per atom: -0.2654

Cell lengths 9.033, 9.033, 6.556 Å; angles 90.00, 90.00, 120.00 degrees
Positions (direct):
Tb 0.000 0.325 0.250
Tb 0.000 0.675 0.750
Tb 0.325 0.000 0.250
Tb 0.325 0.325 0.750
Tb 0.333 0.667 0.000
Tb 0.333 0.667 0.500
Tb 0.667 0.333 0.000
Tb 0.667 0.333 0.500
Tb 0.675 0.000 0.750
Tb 0.675 0.675 0.250
Sc 0.000 0.000 0.000
Sc 0.000 0.000 0.500
Al 0.000 0.336 0.750
Al 0.000 0.664 0.250
Al 0.336 0.000 0.750
Al 0.336 0.336 0.250
Al 0.664 0.000 0.250
Al 0.664 0.664 0.750

Record 17
Computed, not measured: a relaxed Ba3Tl8Pd3 crystal at the GGA-PBE level of DFT.

Summary:
E in eV/cell: -44.931
Energy relative to the elements in eV per atom: -0.3324

Cell lengths 9.516, 9.516, 9.868 Å; angles 121.10, 121.10, 32.26 degrees
Positions (direct):
Ba 0.000 0.000 0.000
Ba 0.286 0.286 0.285
Ba 0.714 0.714 0.715
Tl 0.135 0.135 0.833
Tl 0.148 0.148 0.443
Tl 0.345 0.345 0.962
Tl 0.494 0.494 0.665
Tl 0.506 0.506 0.335
Tl 0.655 0.655 0.038
Tl 0.852 0.852 0.557
Tl 0.865 0.865 0.167
Pd 0.000 0.000 0.500
Pd 0.342 0.342 0.677
Pd 0.658 0.658 0.323

Record 18
Computed, not measured: a relaxed SmSbC crystal at the GGA-PBE level of DFT.

Summary:
E in eV/cell: -37.158

Cell lengths 5.295, 5.295, 8.247 Å; angles 121.22, 121.22, 43.77 degrees
Positions (direct):
Sm 0.077 0.077 0.307
Sm 0.923 0.923 0.693
Sb 0.333 0.333 0.940
Sb 0.667 0.667 0.060
C 0.427 0.427 0.483
C 0.573 0.573 0.517

Record 19
Computed, not measured: a relaxed Sc12AlCd3 crystal at the GGA-PBE level of DFT.

Summary:
E in eV/cell: -84.929
Energy relative to the elements in eV per atom: -0.1539

Cell lengths 4.489, 4.489, 17.973 Å; angles 90.00, 90.00, 90.00 degrees
Positions (direct):
Sc 0.000 0.000 0.000
Sc 0.000 0.000 0.248
Sc 0.000 0.000 0.500
Sc 0.000 0.000 0.752
Sc 0.000 0.500 0.120
Sc 0.000 0.500 0.374
Sc 0.000 0.500 0.626
Sc 0.000 0.500 0.880
Sc 0.500 0.000 0.120
Sc 0.500 0.000 0.374
Sc 0.500 0.000 0.626
Sc 0.500 0.000 0.880
Al 0.500 0.500 0.000
Cd 0.500 0.500 0.248
Cd 0.500 0.500 0.500
Cd 0.500 0.500 0.752